DFT (PBE) results for crystalline Tb2HoTm at its relaxed geometry.

a b c (Å): 11.659 11.659 11.659
angles (deg): 17.40 17.40 17.40
Positions (direct):
Tb (0.250, 0.250, 0.250)
Tb (0.750, 0.750, 0.750)
Ho (0.500, 0.500, 0.500)
Tm (0.000, 0.000, 0.000)

Results
- crystal system = trigonal
- DFT formation energy (eV/atom) = 0.02
- DFT total energy (eV per cell) = -18.2